Version 1
5
Lattice="4.843 0.000 0.000 0.000 4.843 0.000 0.000 0.000 3.752" Properties=species:S:1:pos:R:3 comment="NaTcS2N GGA-PBE optimized geometry" magnetic_moment_mub_per_fu=0.000 dos_at_fermi_per_ev_cell=1.9 pbc="T T T"
Na 2.422 2.422 1.876
S 0.000 2.422 0.000
S 2.422 0.000 0.000
Tc 0.000 0.000 0.000
N 0.000 0.000 1.876

---

Version 2
5
Lattice="-3.018 2.216 2.808 -0.635 -3.947 2.433 2.931 0.989 2.369" Properties=species:S:1:pos:R:3 comment="NaTcS2N GGA-PBE optimized geometry" magnetic_moment_mub_per_fu=0.234 dos_at_fermi_per_ev_cell=7.8 pbc="T T T"
Na 0.000 0.000 0.000
S -0.317 -1.974 1.217
S -1.509 1.108 1.404
Tc -0.361 -0.371 3.805
N 1.466 0.495 1.185

---

Least stable = version 2

---

Version 1
5
Lattice="6.047 0.000 0.000 0.000 6.047 0.000 0.000 0.000 3.286" Properties=species:S:1:pos:R:3 comment="NaTe2SN GGA-PBE optimized geometry" magnetic_moment_mub_per_fu=0.000 dos_at_fermi_per_ev_cell=3.7 pbc="T T T"
Na 3.024 3.024 1.643
S 0.000 0.000 0.000
Te 0.000 3.024 0.000
Te 3.024 0.000 0.000
N 0.000 0.000 1.643

---

Version 2
5
Lattice="-2.933 -4.258 -2.027 3.665 -0.556 -4.136 2.248 -2.668 2.351" Properties=species:S:1:pos:R:3 comment="NaTe2SN GGA-PBE optimized geometry" magnetic_moment_mub_per_fu=2.140 dos_at_fermi_per_ev_cell=4.7 pbc="T T T"
Na 0.000 0.000 0.000
S 1.490 -3.741 -1.906
Te 1.832 -0.278 -2.068
Te -1.467 -2.129 -1.014
N 1.124 -1.334 1.175

---

Least stable = version 2

---

Version 1
5
Lattice="5.070 0.000 0.000 0.000 5.070 0.000 0.000 0.000 4.185" Properties=species:S:1:pos:R:3 comment="NaTeS2N GGA-PBE optimized geometry" magnetic_moment_mub_per_fu=3.028 dos_at_fermi_per_ev_cell=3.1 pbc="T T T"
Na 0.000 0.000 0.000
S 0.000 2.535 0.000
S 2.535 0.000 0.000
Te 2.535 2.535 2.092
N 0.000 0.000 2.092

---

Version 2
5
Lattice="-3.767 3.425 -0.687 -2.976 -3.675 -2.008 -1.438 -0.844 3.677" Properties=species:S:1:pos:R:3 comment="NaTeS2N GGA-PBE optimized geometry" magnetic_moment_mub_per_fu=0.000 dos_at_fermi_per_ev_cell=4.4 pbc="T T T"
Na -4.090 -0.547 0.491
S -1.488 -1.838 -1.004
S -1.884 1.713 -0.343
Te 0.000 0.000 0.000
N -0.719 -0.422 1.839

---

Least stable = version 1

---

Version 1
5
Lattice="5.257 0.000 0.000 0.000 5.257 0.000 0.000 0.000 4.644" Properties=species:S:1:pos:R:3 comment="NaTlS2N GGA-PBE optimized geometry" magnetic_moment_mub_per_fu=5.022 dos_at_fermi_per_ev_cell=2.4 pbc="T T T"
Na 0.000 0.000 0.000
Tl 2.629 2.629 2.322
S 0.000 2.629 0.000
S 2.629 0.000 0.000
N 0.000 0.000 2.322

---

Version 2
5
Lattice="5.250 0.000 0.000 0.000 5.250 0.000 0.000 0.000 4.543" Properties=species:S:1:pos:R:3 comment="NaTlS2N GGA-PBE optimized geometry" magnetic_moment_mub_per_fu=2.415 dos_at_fermi_per_ev_cell=4.0 pbc="T T T"
Na 2.625 2.625 2.272
Tl 0.000 0.000 0.000
S 0.000 2.625 0.000
S 2.625 0.000 0.000
N 0.000 0.000 2.272

---

Least stable = version 1

---

Version 1
5
Lattice="-2.515 3.024 2.468 0.246 -2.807 3.691 3.185 1.741 1.112" Properties=species:S:1:pos:R:3 comment="NaWS2N GGA-PBE optimized geometry" magnetic_moment_mub_per_fu=0.001 dos_at_fermi_per_ev_cell=6.5 pbc="T T T"
Na 0.000 0.000 0.000
S 0.123 -1.403 1.845
S -1.257 1.512 1.234
W 0.458 0.979 3.635
N 1.592 0.871 0.556

---

Version 2
5
Lattice="4.839 0.000 0.000 0.000 4.839 0.000 0.000 0.000 3.863" Properties=species:S:1:pos:R:3 comment="NaWS2N GGA-PBE optimized geometry" magnetic_moment_mub_per_fu=0.000 dos_at_fermi_per_ev_cell=3.1 pbc="T T T"
Na 2.419 2.419 1.932
S 0.000 2.419 0.000
S 2.419 0.000 0.000
W 0.000 0.000 0.000
N 0.000 0.000 1.932

---

Least stable = version 1

---

Version 1
5
Lattice="5.314 0.000 0.000 0.000 5.314 0.000 0.000 0.000 4.664" Properties=species:S:1:pos:R:3 comment="NaYS2N GGA-PBE optimized geometry" magnetic_moment_mub_per_fu=2.537 dos_at_fermi_per_ev_cell=3.8 pbc="T T T"
Y 0.000 0.000 0.000
Na 2.657 2.657 2.332
S 0.000 2.657 0.000
S 2.657 0.000 0.000
N 0.000 0.000 2.332

---

Version 2
5
Lattice="-0.242 -4.590 -1.786 1.905 -1.736 4.204 -3.781 -0.402 1.547" Properties=species:S:1:pos:R:3 comment="NaYS2N GGA-PBE optimized geometry" magnetic_moment_mub_per_fu=3.011 dos_at_fermi_per_ev_cell=1.1 pbc="T T T"
Y -1.059 -3.364 1.983
Na 0.000 0.000 0.000
S 0.952 -0.868 2.102
S -0.121 -2.295 -0.893
N -1.890 -0.201 0.773

---

Least stable = version 2

---

Version 1
5
Lattice="-2.685 4.187 -2.244 -1.817 -3.287 -3.959 -4.428 -1.212 3.038" Properties=species:S:1:pos:R:3 comment="NaSb2TeN GGA-PBE optimized geometry" magnetic_moment_mub_per_fu=2.830 dos_at_fermi_per_ev_cell=3.2 pbc="T T T"
Sb -0.909 -1.643 -1.979
Sb -1.343 2.094 -1.122
N -4.465 -0.156 -1.582
Te -2.214 -0.606 1.519
Na 0.000 0.000 0.000

---

Version 2
5
Lattice="-4.778 -0.300 -1.013 -0.544 -3.322 3.552 -0.886 3.504 3.141" Properties=species:S:1:pos:R:3 comment="NaSb2TeN GGA-PBE optimized geometry" magnetic_moment_mub_per_fu=0.000 dos_at_fermi_per_ev_cell=2.9 pbc="T T T"
Sb -0.272 -1.661 1.776
Sb -2.389 -0.150 -0.507
N 0.000 0.000 0.000
Te -0.443 1.752 1.570
Na -3.105 -0.059 2.840

---

Least stable = version 1